Li9Cr4B8O24: relaxed, PBEsol.

```
Li9Cr4B8O24
1.0
-4.482 2.189 3.038
-2.175 -8.025 2.933
4.001 -2.325 8.056
Li Cr B O
9 4 8 24
Direct
0.247 0.151 0.093
0.223 0.130 0.565
0.430 0.299 0.670
0.759 0.385 0.484
0.255 0.599 0.016
0.775 0.382 0.997
0.538 0.708 0.341
0.794 0.865 0.423
0.922 0.734 0.840
0.540 0.231 0.279
0.968 0.231 0.775
0.044 0.763 0.222
0.465 0.765 0.725
0.718 0.053 0.077
0.783 0.053 0.575
0.334 0.447 0.311
0.838 0.547 0.191
0.157 0.455 0.801
0.673 0.550 0.687
0.225 0.933 0.430
0.280 0.949 0.920
0.600 0.181 0.096
0.294 0.083 0.318
0.736 0.077 0.421
0.901 0.175 0.597
0.244 0.102 0.792
0.764 0.403 0.191
0.784 0.085 0.921
0.316 0.401 0.187
0.437 0.320 0.442
0.958 0.669 0.068
0.711 0.396 0.687
0.818 0.587 0.321
0.158 0.423 0.667
0.287 0.604 0.297
0.060 0.320 0.928
0.586 0.687 0.561
0.688 0.580 0.823
0.212 0.937 0.069
0.223 0.596 0.812
0.765 0.903 0.198
0.109 0.821 0.394
0.260 0.908 0.586
0.722 0.906 0.693
0.370 0.816 0.899
```

uncorrected energy	-7.52	eV per atom
total magnetic moment	9.00	Bohr magnetons per cell